RhCI2N | PBE | optimized geometry

Cell lengths 5.5656, 5.5656, 3.6843 Å; angles 90.00, 90.00, 90.00 degrees
Fractional coordinates of all 5 atoms:
Rh1 0.0000 0.0000 0.0000
C1 0.5000 0.5000 0.5000
I1 0.0000 0.5000 0.0000
I2 0.5000 0.0000 0.0000
N1 0.0000 0.0000 0.5000

Results
- E (eV/atom) = -3.884
- offset from the most stable computed form (meV/atom) = 369
- DOS(E_F) (states/eV per atom) = 0.796
- formation energy (no corrections) (meV per atom) = 1717
- space group = P4/mmm
- calculated volume (Å³/f.u.) = 114.1



NaNbSb2Se | PBE | optimized geometry

Cell lengths 5.2542, 5.2542, 4.8206 Å; angles 90.00, 90.00, 90.00 degrees
Fractional coordinates of all 5 atoms:
Na1 0.0000 0.0000 0.0000
Nb1 0.5000 0.5000 0.5000
Sb1 0.0000 0.5000 0.0000
Sb2 0.5000 0.0000 0.0000
Se1 0.0000 0.0000 0.5000

Results
- E (eV/atom) = -3.412
- DOS(E_F) (states/eV per atom) = 1.840
- formation energy (no corrections) (meV per atom) = 1212
- space group = P4/mmm
- calculated volume (Å³/f.u.) = 133.1



SbOsPt2 | PBE | optimized geometry

Cell lengths 4.7660, 4.7660, 3.1874 Å; angles 90.08, 90.08, 111.01 degrees
Fractional coordinates of all 4 atoms:
Sb1 0.0000 0.0000 0.0000
Os1 0.5000 0.5000 0.0000
Pt1 0.0000 0.5000 0.5000
Pt2 0.5000 0.0000 0.5000

Results
- E (eV/atom) = -6.650
- DOS(E_F) (states/eV per atom) = 0.690
- formation energy (no corrections) (meV per atom) = 208
- space group = C2/m
- calculated volume (Å³/f.u.) = 67.6



SmBe4Sn3O12 | PBE | optimized geometry

Cell lengths 6.4415, 6.4415, 6.4415 Å; angles 104.86, 104.86, 104.86 degrees
Fractional coordinates of all 20 atoms:
Sm1 0.0000 0.0000 0.0000
Be1 0.0588 0.5000 0.9412
Be2 0.5000 0.5000 0.5000
Be3 0.5000 0.9412 0.0588
Be4 0.9412 0.0588 0.5000
Sn1 0.0000 0.5532 0.4468
Sn2 0.4468 0.0000 0.5532
Sn3 0.5532 0.4468 0.0000
O1 0.0297 0.6456 0.7859
O2 0.0926 0.9074 0.5000
O3 0.2141 0.3544 0.9703
O4 0.3492 0.6508 0.5000
O5 0.3544 0.9703 0.2141
O6 0.5000 0.0926 0.9074
O7 0.5000 0.3492 0.6508
O8 0.6456 0.7859 0.0297
O9 0.6508 0.5000 0.3492
O10 0.7859 0.0297 0.6456
O11 0.9074 0.5000 0.0926
O12 0.9703 0.2141 0.3544

Results
- E (eV/atom) = -6.696
- DOS(E_F) (states/eV per atom) = 0.562
- formation energy (no corrections) (meV per atom) = -2140
- space group = R32
- calculated volume (Å³/f.u.) = 234.4